# KZrSc2 | the Alexandria database | GGA-PBE | optimized geometry
# offset from the most stable computed form	86	kJ/mol of formula units
data_KZrSc2
_cell_length_a 10.159
_cell_length_b 3.177
_cell_length_c 7.916
_cell_angle_alpha 90.00
_cell_angle_beta 94.61
_cell_angle_gamma 90.00
_symmetry_space_group_name_H-M 'C 1 2/m 1'
_symmetry_Int_Tables_number 12
loop_
_symmetry_equiv_pos_as_xyz
'x,y,z'
'-x,-y,-z'
'-x,y,-z'
'x,-y,z'
'x+1/2,y+1/2,z'
'-x+1/2,-y+1/2,-z'
'-x+1/2,y+1/2,-z'
'x+1/2,-y+1/2,z'
loop_
_atom_site_label
_atom_site_fract_x
_atom_site_fract_y
_atom_site_fract_z
K1 0.000 0.000 0.000
Zr1 0.000 0.500 0.500
Sc1 0.233 0.000 0.667